Record 1
## GaAg2B2O6 (GGA-PBE)

Data for GaAg2B2O6 after structural relaxation.

Calculated values
Theoretical density   5.1 g/cm3
Energy relative to the elements, uncorrected   -1.424 eV per atom

Unit cell a=5.0559 b=5.0559 c=5.9448 alpha=90.00 beta=90.00 gamma=120.00
Closest atoms and distances in Å follow each position.
Space group P-3 (No. 147)
Symmetry-distinct sites (fractional):
Ga 0.0000 0.0000 0.0000 x1  6 O 2.01
Ag 0.3333 0.6667 0.3079 x2  3 O 2.26
B 0.3333 0.6667 0.8102 x2  3 O 1.38
O 0.1089 0.3619 0.8006 x6  1 B 1.38


Record 2
## GaRe2AgB (GGA-PBE)

Data for GaRe2AgB after structural relaxation.

Calculated values
Uncorrected energy   -4.9051 eV/atom
Theoretical density   9.5 g/cm3

Unit cell a=4.6373 b=4.6373 c=4.5765 alpha=90.00 beta=90.00 gamma=90.00
Closest atoms and distances in Å follow each position.
Space group P4/mmm (No. 123)
Symmetry-distinct sites (fractional):
Ga 0.0000 0.0000 0.0000 x1  2 Ag 2.29, 4 Re 2.32
Re 0.0000 0.5000 0.0000 x2  2 Ga 2.32
Ag 0.0000 0.0000 0.5000 x1  2 Ga 2.29
B 0.5000 0.5000 0.5000 x1  8 Re 3.26, 4 Ag 3.28


Record 3
## GaAg2BTe (GGA-PBE)

Data for GaAg2BTe after structural relaxation.

Calculated values
Theoretical density   6.9 g/cm3
Energy relative to the elements, uncorrected   0.540 eV per atom

Unit cell a=4.4654 b=4.4654 c=5.1276 alpha=90.00 beta=90.00 gamma=90.00
Closest atoms and distances in Å follow each position.
Space group P4/mmm (No. 123)
Symmetry-distinct sites (fractional):
Ga 0.0000 0.0000 0.0000 x1  4 Te 3.16, 8 Ag 3.40
Ag 0.0000 0.5000 0.5000 x2  2 B 2.23
B 0.5000 0.5000 0.5000 x1  4 Ag 2.23
Te 0.5000 0.5000 0.0000 x1  2 B 2.56


Record 4
## VGa2AgB (GGA-PBE)

Data for VGa2AgB after structural relaxation.

Calculated values
Uncorrected energy   -3.1809 eV/atom
Theoretical density   4.6 g/cm3

Unit cell a=4.6837 b=4.6837 c=5.0415 alpha=90.00 beta=90.00 gamma=90.00
Closest atoms and distances in Å follow each position.
Space group P4/mmm (No. 123)
Symmetry-distinct sites (fractional):
V 0.0000 0.0000 0.0000 x1  2 Ag 2.52
Ga 0.0000 0.5000 0.5000 x2  2 Ag 2.34
Ag 0.0000 0.0000 0.5000 x1  4 Ga 2.34, 2 V 2.52
B 0.5000 0.5000 0.0000 x1  4 V 3.31, 8 Ga 3.44


Record 5
## GaAg2BW (GGA-PBE)

Data for GaAg2BW after structural relaxation.

Calculated values
Uncorrected energy   -3.4303 eV/atom
Theoretical density   6.2 g/cm3

Unit cell a=5.0939 b=5.0939 c=4.9662 alpha=90.00 beta=90.00 gamma=90.00
Closest atoms and distances in Å follow each position.
Space group P4/mmm (No. 123)
Symmetry-distinct sites (fractional):
Ga 0.0000 0.0000 0.0000 x1  2 W 2.48
Ag 0.0000 0.5000 0.5000 x2  2 W 2.55
B 0.5000 0.5000 0.0000 x1  8 Ag 3.56, 4 Ga 3.60
W 0.0000 0.0000 0.5000 x1  2 Ga 2.48, 4 Ag 2.55


Record 6
## AgGeB (GGA-PBE)

Data for AgGeB after structural relaxation.

Calculated values
Uncorrected energy   -4.2800 eV/atom
Theoretical density   6.5 g/cm3

Unit cell a=10.6130 b=3.1523 c=5.8586 alpha=90.00 beta=90.00 gamma=90.00
Closest atoms and distances in Å follow each position.
Space group Pnma (No. 62)
Symmetry-distinct sites (fractional):
Ag 0.1008 0.2500 0.1229 x4  2 B 2.58, 4 Ge 2.64-2.87
Ge 0.1606 0.7500 0.7496 x4  2 B 2.38, 1 Ag 2.64
B 0.0000 0.0000 0.5000 x4  2 B 1.58


Record 7
## AgGeB (GGA-PBE)

Data for AgGeB after structural relaxation.

Calculated values
Uncorrected energy   -4.3802 eV/atom
Theoretical density   6.7 g/cm3

Unit cell a=3.0682 b=5.2517 c=6.2882 alpha=110.46 beta=90.10 gamma=90.21
Closest atoms and distances in Å follow each position.
Space group P-1 (No. 2)
Symmetry-distinct sites (fractional):
Ag 0.2483 0.4059 0.2779 x2  3 B 2.38-2.63
Ge 0.2505 0.1432 0.6679 x2  1 B 2.15
B 0.2499 0.0033 0.9508 x2  2 B 1.66


Record 8
## AgGeB (GGA-PBE)

Data for AgGeB after structural relaxation.

Calculated values
Uncorrected energy   -4.3421 eV/atom
Theoretical density   6.6 g/cm3

Unit cell a=3.0868 b=5.4964 c=5.6790 alpha=90.00 beta=90.00 gamma=90.00
Closest atoms and distances in Å follow each position.
Space group Pma2 (No. 28)
Symmetry-distinct sites (fractional):
Ag 0.2500 0.2489 0.0000 x2  3 B 2.41-2.61
Ge 0.2500 0.8063 0.6011 x2  1 B 2.17
B 0.2500 0.5454 0.3135 x2  2 B 1.62


Values for M_tot, μB/cell, ordered as above
0.99; 3.28; 0.00; 0.18; 0.00; 0.00; 0.00; 0.00